(1)
CePu2Al after structural relaxation, computed with PBE.

**Relative energy among the computed polymorphs**: 0.44 eV/f.u.
**Formation energy from the elements**: 0.003 eV/atom
**Size of the total moment**: 12.8 μB per cell

CIF file:
```
data_CePu2Al
_cell_length_a 3.881
_cell_length_b 3.881
_cell_length_c 6.545
_cell_angle_alpha 90.00
_cell_angle_beta 90.00
_cell_angle_gamma 90.00
_space_group_name_H-M_alt 'P 1'
_space_group_IT_number 1
loop_
_space_group_symop_operation_xyz
'x,y,z'
loop_
_atom_site_label
_atom_site_type_symbol
_atom_site_fract_x
_atom_site_fract_y
_atom_site_fract_z
Ce1 Ce 0.500 0.500 0.500
Pu1 Pu 0.000 0.000 0.770
Pu2 Pu 0.000 0.000 0.230
Al1 Al 0.500 0.500 0.000
```

=====

(2)
HfMg6ZnO8 after structural relaxation, computed with PBE.

**Relative energy among the computed polymorphs**: 0.06 eV/f.u.
**Energy relative to the elements, uncorrected**: -2335 meV/atom
**Size of the total moment**: 0.4 μB per cell

CIF file:
```
data_HfMg6ZnO8
_cell_length_a 4.349
_cell_length_b 4.349
_cell_length_c 8.996
_cell_angle_alpha 90.00
_cell_angle_beta 90.00
_cell_angle_gamma 90.00
_space_group_name_H-M_alt 'P 1'
_space_group_IT_number 1
loop_
_space_group_symop_operation_xyz
'x,y,z'
loop_
_atom_site_label
_atom_site_type_symbol
_atom_site_fract_x
_atom_site_fract_y
_atom_site_fract_z
Mg1 Mg 0.500 0.000 0.764
Mg2 Mg 0.000 0.500 0.236
Mg3 Mg 0.500 0.000 0.236
Mg4 Mg 0.000 0.500 0.764
Mg5 Mg 0.500 0.500 0.500
Mg6 Mg 0.500 0.500 0.000
O1 O 0.500 0.500 0.754
O2 O 0.000 0.500 0.000
O3 O 0.500 0.500 0.246
O4 O 0.000 0.500 0.500
O5 O 0.000 0.000 0.263
O6 O 0.000 0.000 0.737
O7 O 0.500 0.000 0.500
O8 O 0.500 0.000 0.000
Hf1 Hf 0.000 0.000 0.500
Zn1 Zn 0.000 0.000 0.000
```

=====

(3)
GaPd2Rh after structural relaxation, computed with PBE.

**Formation energy from the elements**: -0.270 eV/atom
**Size of the total moment**: 0.7 μB per cell

CIF file:
```
data_GaPd2Rh
_cell_length_a 2.845
_cell_length_b 2.845
_cell_length_c 7.299
_cell_angle_alpha 90.00
_cell_angle_beta 90.00
_cell_angle_gamma 90.00
_space_group_name_H-M_alt 'P 1'
_space_group_IT_number 1
loop_
_space_group_symop_operation_xyz
'x,y,z'
loop_
_atom_site_label
_atom_site_type_symbol
_atom_site_fract_x
_atom_site_fract_y
_atom_site_fract_z
Ga1 Ga 0.500 0.500 0.000
Pd1 Pd 0.000 0.000 0.231
Pd2 Pd 0.000 0.000 0.769
Rh1 Rh 0.500 0.500 0.500
```

=====

(4)
Th2PaAg after structural relaxation, computed with PBE.

**Relative energy among the computed polymorphs**: 0.94 eV/f.u.
**Formation energy from the elements**: 0.254 eV/atom
**Size of the total moment**: 0.0 μB per cell

CIF file:
```
data_Th2PaAg
_cell_length_a 5.354
_cell_length_b 5.354
_cell_length_c 5.354
_cell_angle_alpha 60.00
_cell_angle_beta 60.00
_cell_angle_gamma 60.00
_space_group_name_H-M_alt 'P 1'
_space_group_IT_number 1
loop_
_space_group_symop_operation_xyz
'x,y,z'
loop_
_atom_site_label
_atom_site_type_symbol
_atom_site_fract_x
_atom_site_fract_y
_atom_site_fract_z
Th1 Th 0.250 0.250 0.250
Th2 Th 0.750 0.750 0.750
Pa1 Pa 0.500 0.500 0.500
Ag1 Ag 0.000 0.000 0.000
```

=====

(5)
ErTm3S3 after structural relaxation, computed with PBE.

**Energy relative to the elements, uncorrected**: -1643 meV/atom
**Size of the total moment**: 0.0 μB per cell

CIF file:
```
data_ErTm3S3
_cell_length_a 5.372
_cell_length_b 10.782
_cell_length_c 10.782
_cell_angle_alpha 90.00
_cell_angle_beta 90.00
_cell_angle_gamma 90.00
_space_group_name_H-M_alt 'P 1'
_space_group_IT_number 1
loop_
_space_group_symop_operation_xyz
'x,y,z'
loop_
_atom_site_label
_atom_site_type_symbol
_atom_site_fract_x
_atom_site_fract_y
_atom_site_fract_z
Tm1 Tm 0.500 0.127 0.379
Tm2 Tm 0.500 0.873 0.621
Tm3 Tm 0.500 0.126 0.874
Tm4 Tm 0.000 0.374 0.374
Tm5 Tm 0.500 0.379 0.127
Tm6 Tm 0.000 0.373 0.879
Tm7 Tm 0.000 0.627 0.121
Tm8 Tm 0.500 0.621 0.873
Tm9 Tm 0.000 0.121 0.627
Tm10 Tm 0.000 0.626 0.626
Tm11 Tm 0.500 0.874 0.126
Tm12 Tm 0.000 0.879 0.373
S1 S 0.500 0.627 0.627
S2 S 0.000 0.875 0.626
S3 S 0.500 0.375 0.874
S4 S 0.500 0.625 0.126
S5 S 0.500 0.373 0.373
S6 S 0.000 0.125 0.374
S7 S 0.000 0.127 0.873
S8 S 0.000 0.873 0.127
S9 S 0.000 0.626 0.875
S10 S 0.000 0.374 0.125
S11 S 0.500 0.874 0.375
S12 S 0.500 0.126 0.625
Er1 Er 0.500 0.621 0.379
Er2 Er 0.500 0.379 0.621
Er3 Er 0.000 0.879 0.879
Er4 Er 0.000 0.121 0.121
```

=====

(6)
Sm4Dy3Tm after structural relaxation, computed with PBE.

**Relative energy among the computed polymorphs**: 1.16 eV/f.u.
**Formation energy from the elements**: 0.166 eV/atom
**Size of the total moment**: 0.0 μB per cell

CIF file:
```
data_Sm4Dy3Tm
_cell_length_a 3.486
_cell_length_b 6.753
_cell_length_c 11.845
_cell_angle_alpha 106.47
_cell_angle_beta 98.46
_cell_angle_gamma 90.00
_space_group_name_H-M_alt 'P 1'
_space_group_IT_number 1
loop_
_space_group_symop_operation_xyz
'x,y,z'
loop_
_atom_site_label
_atom_site_type_symbol
_atom_site_fract_x
_atom_site_fract_y
_atom_site_fract_z
Sm1 Sm 0.740 0.237 0.480
Sm2 Sm 0.876 0.632 0.753
Sm3 Sm 0.124 0.368 0.247
Sm4 Sm 0.260 0.763 0.520
Dy1 Dy 0.123 0.882 0.245
Dy2 Dy 0.000 0.500 0.000
Dy3 Dy 0.877 0.118 0.755
Tm1 Tm 0.500 0.000 0.000
```

=====

(7)
Ce4PmSb4 after structural relaxation, computed with PBE.

**Energy relative to the elements, uncorrected**: -813 meV/atom
**Size of the total moment**: 8.9 μB per cell

CIF file:
```
data_Ce4PmSb4
_cell_length_a 6.320
_cell_length_b 9.919
_cell_length_c 9.919
_cell_angle_alpha 90.00
_cell_angle_beta 90.00
_cell_angle_gamma 90.00
_space_group_name_H-M_alt 'P 1'
_space_group_IT_number 1
loop_
_space_group_symop_operation_xyz
'x,y,z'
loop_
_atom_site_label
_atom_site_type_symbol
_atom_site_fract_x
_atom_site_fract_y
_atom_site_fract_z
Pm1 Pm 0.500 0.500 0.500
Pm2 Pm 0.000 0.000 0.000
Sb1 Sb 0.000 0.097 0.699
Sb2 Sb 0.000 0.903 0.301
Sb3 Sb 0.000 0.699 0.903
Sb4 Sb 0.500 0.597 0.199
Sb5 Sb 0.000 0.301 0.097
Sb6 Sb 0.500 0.403 0.801
Sb7 Sb 0.500 0.199 0.403
Sb8 Sb 0.500 0.801 0.597
Ce1 Ce 0.500 0.899 0.296
Ce2 Ce 0.500 0.101 0.704
Ce3 Ce 0.000 0.399 0.796
Ce4 Ce 0.000 0.204 0.399
Ce5 Ce 0.500 0.296 0.101
Ce6 Ce 0.000 0.796 0.601
Ce7 Ce 0.000 0.601 0.204
Ce8 Ce 0.500 0.704 0.899
```

=====

(8)
Na2CaP2O8 after structural relaxation, computed with PBE.

**Energy relative to the elements, uncorrected**: -2154 meV/atom
**Size of the total moment**: 4.1 μB per cell

CIF file:
```
data_Na2CaP2O8
_cell_length_a 7.957
_cell_length_b 5.592
_cell_length_c 9.426
_cell_angle_alpha 87.50
_cell_angle_beta 90.00
_cell_angle_gamma 90.00
_space_group_name_H-M_alt 'P 1'
_space_group_IT_number 1
loop_
_space_group_symop_operation_xyz
'x,y,z'
loop_
_atom_site_label
_atom_site_type_symbol
_atom_site_fract_x
_atom_site_fract_y
_atom_site_fract_z
O1 O 0.373 0.418 0.399
O2 O 0.694 0.739 0.395
O3 O 0.194 0.261 0.605
O4 O 0.102 0.253 0.345
O5 O 0.029 0.918 0.899
O6 O 0.873 0.582 0.601
O7 O 0.077 0.466 0.935
O8 O 0.300 0.753 0.845
O9 O 0.577 0.534 0.065
O10 O 0.324 0.966 0.436
O11 O 0.800 0.247 0.155
O12 O 0.207 0.761 0.105
O13 O 0.824 0.034 0.564
O14 O 0.529 0.082 0.101
O15 O 0.707 0.239 0.895
O16 O 0.602 0.747 0.655
Na1 Na 0.820 0.342 0.388
Na2 Na 0.581 0.841 0.888
Na3 Na 0.320 0.658 0.612
Na4 Na 0.081 0.159 0.112
P1 P 0.249 0.217 0.452
P2 P 0.152 0.717 0.952
P3 P 0.652 0.283 0.048
P4 P 0.749 0.783 0.548
Ca1 Ca 0.951 0.250 0.750
Ca2 Ca 0.451 0.750 0.250
```

=====

(9)
LaHg3Rh after structural relaxation, computed with PBE.

**Relative energy among the computed polymorphs**: 0.00 eV/f.u.
**Formation energy from the elements**: -0.066 eV/atom
**Size of the total moment**: 0.0 μB per cell

CIF file:
```
data_LaHg3Rh
_cell_length_a 5.172
_cell_length_b 5.172
_cell_length_c 5.172
_cell_angle_alpha 90.00
_cell_angle_beta 90.00
_cell_angle_gamma 90.00
_space_group_name_H-M_alt 'P 1'
_space_group_IT_number 1
loop_
_space_group_symop_operation_xyz
'x,y,z'
loop_
_atom_site_label
_atom_site_type_symbol
_atom_site_fract_x
_atom_site_fract_y
_atom_site_fract_z
Hg1 Hg 0.000 0.000 0.500
Hg2 Hg 0.500 0.000 0.000
Hg3 Hg 0.000 0.500 0.000
Rh1 Rh 0.000 0.000 0.000
La1 La 0.500 0.500 0.500
```

=====

(10)
BaTlSi after structural relaxation, computed with PBE.

**Relative energy among the computed polymorphs**: 1.23 eV/f.u.
**Energy relative to the elements, uncorrected**: 88 meV/atom
**Size of the total moment**: 0.0 μB per cell

CIF file:
```
data_BaTlSi
_cell_length_a 5.296
_cell_length_b 5.296
_cell_length_c 5.296
_cell_angle_alpha 60.00
_cell_angle_beta 60.00
_cell_angle_gamma 60.00
_space_group_name_H-M_alt 'P 1'
_space_group_IT_number 1
loop_
_space_group_symop_operation_xyz
'x,y,z'
loop_
_atom_site_label
_atom_site_type_symbol
_atom_site_fract_x
_atom_site_fract_y
_atom_site_fract_z
Si1 Si 0.500 0.500 0.500
Ba1 Ba 0.000 0.000 0.000
Tl1 Tl 0.750 0.750 0.750
```

=====

(11)
Nb3VN after structural relaxation, computed with PBE.

**Relative energy among the computed polymorphs**: 0.60 eV/f.u.
**Energy relative to the elements, uncorrected**: -319 meV/atom
**Size of the total moment**: 0.9 μB per cell

CIF file:
```
data_Nb3VN
_cell_length_a 4.262
_cell_length_b 4.262
_cell_length_c 4.262
_cell_angle_alpha 90.00
_cell_angle_beta 90.00
_cell_angle_gamma 90.00
_space_group_name_H-M_alt 'P 1'
_space_group_IT_number 1
loop_
_space_group_symop_operation_xyz
'x,y,z'
loop_
_atom_site_label
_atom_site_type_symbol
_atom_site_fract_x
_atom_site_fract_y
_atom_site_fract_z
Nb1 Nb 0.500 0.000 0.000
Nb2 Nb 0.000 0.000 0.500
Nb3 Nb 0.000 0.500 0.000
N1 N 0.000 0.000 0.000
V1 V 0.500 0.500 0.500
```

=====

(12)
AsRh after structural relaxation, computed with PBE.

**Formation energy from the elements**: -0.277 eV/atom
**Size of the total moment**: 0.0 μB per cell

CIF file:
```
data_AsRh
_cell_length_a 5.362
_cell_length_b 5.362
_cell_length_c 5.362
_cell_angle_alpha 44.55
_cell_angle_beta 44.55
_cell_angle_gamma 44.55
_space_group_name_H-M_alt 'P 1'
_space_group_IT_number 1
loop_
_space_group_symop_operation_xyz
'x,y,z'
loop_
_atom_site_label
_atom_site_type_symbol
_atom_site_fract_x
_atom_site_fract_y
_atom_site_fract_z
Rh1 Rh 0.279 0.279 0.279
Rh2 Rh 0.721 0.721 0.721
As1 As 0.104 0.104 0.104
As2 As 0.896 0.896 0.896
```